# TmZr2Co PBE relaxed
data_TmZr2Co
_chemical_formula_sum 'Tm2 Zr4 Co2'
_symmetry_space_group_name_H-M 'P 1'
_symmetry_Int_Tables_number 1
_cell_length_a 4.177
_cell_length_b 5.944
_cell_length_c 7.318
_cell_angle_alpha 90.00
_cell_angle_beta 90.00
_cell_angle_gamma 110.55
loop_
_symmetry_equiv_pos_as_xyz
'x,y,z'
loop_
_atom_site_label
_atom_site_type_symbol
_atom_site_fract_x
_atom_site_fract_y
_atom_site_fract_z
Zr1 Zr 0.350 0.701 0.953
Zr2 Zr 0.350 0.701 0.547
Zr3 Zr 0.650 0.299 0.453
Zr4 Zr 0.650 0.299 0.047
Tm1 Tm 0.053 0.107 0.750
Tm2 Tm 0.947 0.893 0.250
Co1 Co 0.776 0.551 0.750
Co2 Co 0.224 0.449 0.250
# volume	85.07	Å³/f.u.
# space-group type	Cmcm (63)
# DFT total energy	-29.30	eV per formula unit
# spin magnetization	0.00	μB per cell
# formation energy	-0.16	eV per atom
# energy above the lowest structure with this stoichiometry	0.016	eV/atom

# AsSe2N PBE relaxed
data_AsSe2N
_chemical_formula_sum 'As2 Se4 N2'
_symmetry_space_group_name_H-M 'P 1'
_symmetry_Int_Tables_number 1
_cell_length_a 4.232
_cell_length_b 18.292
_cell_length_c 7.117
_cell_angle_alpha 156.45
_cell_angle_beta 71.11
_cell_angle_gamma 112.46
loop_
_symmetry_equiv_pos_as_xyz
'x,y,z'
loop_
_atom_site_label
_atom_site_type_symbol
_atom_site_fract_x
_atom_site_fract_y
_atom_site_fract_z
Se1 Se 0.040 0.152 0.432
Se2 Se 0.580 0.440 0.505
Se3 Se 0.960 0.848 0.568
Se4 Se 0.420 0.560 0.495
N1 N 0.758 0.518 0.179
N2 N 0.242 0.482 0.821
As1 As 0.169 0.705 0.477
As2 As 0.831 0.295 0.523
# volume	101.45	Å³/f.u.
# space-group type	P-1 (2)
# ΔE_f (raw)	0.318	eV/atom
# DFT total energy	-18.67	eV per formula unit
# spin magnetization	0.00	μB per cell
# energy above the lowest structure with this stoichiometry	0.000	eV/atom

# LiCu2F4 PBE relaxed
data_LiCu2F4
_chemical_formula_sum 'Li1 Cu2 F4'
_symmetry_space_group_name_H-M 'P 1'
_symmetry_Int_Tables_number 1
_cell_length_a 3.007
_cell_length_b 5.452
_cell_length_c 5.375
_cell_angle_alpha 74.60
_cell_angle_beta 106.24
_cell_angle_gamma 90.00
loop_
_symmetry_equiv_pos_as_xyz
'x,y,z'
loop_
_atom_site_label
_atom_site_type_symbol
_atom_site_fract_x
_atom_site_fract_y
_atom_site_fract_z
Cu1 Cu 0.800 0.733 0.599
Cu2 Cu 0.200 0.267 0.401
F1 F 0.585 0.185 0.170
F2 F 0.171 0.712 0.342
F3 F 0.829 0.288 0.658
F4 F 0.415 0.815 0.830
Li1 Li 0.000 0.000 0.000
# volume	81.31	Å³/f.u.
# space-group type	C2/m (12)
# ΔE_f (raw)	-1.752	eV/atom
# DFT total energy	-29.85	eV per formula unit
# spin magnetization	1.00	μB per cell
# energy above the lowest structure with this stoichiometry	0.026	eV/atom